# 1
# YPtF7, relaxed, DFT GGA-PBEsol
# - energy relative to the elements, uncorrected (kcal/mol of atoms) = -59.91
# - final energy (eV per atom) = -5.6288
# - calculated volume (Å³/atom) = 13.82
data_YPtF7
_cell_length_a 8.759
_cell_length_b 5.428
_cell_length_c 11.817
_cell_angle_alpha 90.00
_cell_angle_beta 117.71
_cell_angle_gamma 90.00
_space_group_name_H-M_alt 'P 1 21/c 1'
_space_group_IT_number 14
_space_group_name_Hall '-P 2ybc'
loop_
_atom_site_label
_atom_site_fract_x
_atom_site_fract_y
_atom_site_fract_z
Y1 0.186 0.239 0.264
Pt1 0.272 0.743 0.043
F1 0.023 0.746 0.950
F2 0.033 0.592 0.732
F3 0.254 0.556 0.176
F4 0.276 0.041 0.134
F5 0.277 0.063 0.458
F6 0.296 0.565 0.414
F7 0.479 0.227 0.359

# 2
# ZnPtF2, relaxed, DFT GGA-PBEsol
# - energy relative to the elements, uncorrected (kcal/mol of atoms) = -21.78
# - final energy (eV per atom) = -4.0446
# - calculated volume (Å³/atom) = 12.29
data_ZnPtF2
_cell_length_a 2.7493
_cell_length_b 2.7493
_cell_length_c 22.5341
_cell_angle_alpha 90.00
_cell_angle_beta 90.00
_cell_angle_gamma 120.00
_space_group_name_H-M_alt 'R -3 m'
_space_group_IT_number 166
_space_group_name_Hall '-R 3 2"'
loop_
_atom_site_label
_atom_site_fract_x
_atom_site_fract_y
_atom_site_fract_z
Zn1 0.0000 0.0000 0.0000
Pt1 0.0000 0.0000 0.5000
F1 0.0000 0.0000 0.4110

# 3
# PuF4, relaxed, DFT GGA-PBEsol
# - energy relative to the elements, uncorrected (kcal/mol of atoms) = -77.05
# - final energy (eV per atom) = -7.9140
# - calculated volume (Å³/atom) = 14.63
data_PuF4
_cell_length_a 12.519
_cell_length_b 10.611
_cell_length_c 8.206
_cell_angle_alpha 90.00
_cell_angle_beta 126.39
_cell_angle_gamma 90.00
_space_group_name_H-M_alt 'C 1 2/c 1'
_space_group_IT_number 15
_space_group_name_Hall '-C 2yc'
loop_
_atom_site_label
_atom_site_fract_x
_atom_site_fract_y
_atom_site_fract_z
Pu1 0.000 0.214 0.250
Pu2 0.205 0.428 0.831
F1 0.000 0.400 0.750
F2 0.108 0.295 0.572
F3 0.120 0.378 0.284
F4 0.121 0.056 0.456
F5 0.122 0.151 0.148
F6 0.212 0.470 0.106
F7 0.250 0.250 0.000

- Number 3 is which compound?
  PuF4

Repeat the second record exactly.
# ZnPtF2, relaxed, DFT GGA-PBEsol
# - energy relative to the elements, uncorrected (kcal/mol of atoms) = -21.78
# - final energy (eV per atom) = -4.0446
# - calculated volume (Å³/atom) = 12.29
data_ZnPtF2
_cell_length_a 2.7493
_cell_length_b 2.7493
_cell_length_c 22.5341
_cell_angle_alpha 90.00
_cell_angle_beta 90.00
_cell_angle_gamma 120.00
_space_group_name_H-M_alt 'R -3 m'
_space_group_IT_number 166
_space_group_name_Hall '-R 3 2"'
loop_
_atom_site_label
_atom_site_fract_x
_atom_site_fract_y
_atom_site_fract_z
Zn1 0.0000 0.0000 0.0000
Pt1 0.0000 0.0000 0.5000
F1 0.0000 0.0000 0.4110